Here is a geometry-optimized AsRh2Cl structure from the Alexandria database. Energies are from PBE-GGA.

The structure in extended XYZ format:
```
4
Lattice="0.000 3.172 3.172 3.172 0.000 3.172 3.172 3.172 0.000" Properties=species:S:1:pos:R:3 pbc="T T T"
As 0.000 0.000 0.000
Rh 1.586 1.586 1.586
Rh 3.172 3.172 3.172
Cl 4.758 4.758 4.758
```

## Properties
* D(E_F): 2.136 states/eV/cell
* formation energy without anion corrections: 0.4885 eV/atom
* energy above the most stable polymorph in this dataset: 692 meV per atom

---

Here is a geometry-optimized Th2MgFe structure from the Alexandria database. Energies are from PBE-GGA.

The structure in extended XYZ format:
```
8
Lattice="6.871 -1.822 0.000 6.871 1.822 0.000 -0.991 0.000 8.040" Properties=species:S:1:pos:R:3 pbc="T T T"
Th 0.351 0.000 2.443
Th 2.435 0.000 5.452
Th 10.316 0.000 2.588
Th 12.400 0.000 5.597
Mg 5.219 0.000 0.320
Mg 7.532 0.000 7.720
Fe 5.231 0.000 3.225
Fe 7.520 0.000 4.815
```

## Properties
* formation energy: -0.04 eV per atom
* D(E_F): 8.863 states/eV/cell
* energy above the most stable polymorph in this dataset: 0 meV per atom

---

Here is a geometry-optimized MgTe structure from the Alexandria database. Energies are from PBE-GGA.

The structure in extended XYZ format:
```
4
Lattice="2.041 -8.095 0.000 2.041 8.095 0.000 0.000 0.000 4.088" Properties=species:S:1:pos:R:3 pbc="T T T"
Mg 2.041 5.157 3.066
Mg 2.041 -5.157 1.022
Te 2.041 2.290 3.066
Te 2.041 -2.290 1.022
```

## Properties
* formation energy without anion corrections: -0.7505 eV/atom

---

Here is a geometry-optimized LiYZr2 structure from the Alexandria database. Energies are from PBE-GGA.

The structure in extended XYZ format:
```
4
Lattice="3.271 0.000 0.000 0.000 5.185 0.000 0.000 0.000 5.648" Properties=species:S:1:pos:R:3 pbc="T T T"
Li 0.000 0.000 0.000
Y 1.635 2.593 0.000
Zr 0.000 2.593 2.824
Zr 1.635 0.000 2.824
```

## Properties
* formation energy: 0.22 eV per atom
* D(E_F): 5.141 states/eV/cell
* energy above the most stable polymorph in this dataset: 105 meV per atom

---

Here is a geometry-optimized Tl2GeB2O6 structure from the Alexandria database. Energies are from PBE-GGA.

The structure in extended XYZ format:
```
11
Lattice="4.351 -2.511 0.000 4.351 2.511 0.000 -2.792 0.000 7.531" Properties=species:S:1:pos:R:3 pbc="T T T"
Tl 1.460 0.000 1.291
Tl 4.449 0.000 6.241
Ge -1.396 0.000 3.766
B 1.560 0.000 4.810
B 4.349 0.000 2.722
O 0.185 0.000 4.835
O 2.259 1.190 4.946
O 3.650 1.190 2.585
O 2.259 -1.190 4.946
O 3.650 -1.190 2.585
O 5.724 0.000 2.697
```

## Properties
* D(E_F): 0.000 states/eV/cell
* formation energy without anion corrections: -1.7018 eV/atom

---

Here is a geometry-optimized ErBeGaPt2 structure from the Alexandria database. Energies are from PBE-GGA.

The structure in extended XYZ format:
```
5
Lattice="-1.894 1.894 5.998 1.894 -1.894 5.998 1.894 1.894 -5.998" Properties=species:S:1:pos:R:3 pbc="T T T"
Er 0.000 0.000 0.000
Be 0.000 1.894 2.999
Ga 1.894 0.000 2.999
Pt 0.000 0.000 4.616
Pt 0.000 0.000 7.379
```

## Properties
* formation energy: -0.87 eV per atom
* D(E_F): 2.427 states/eV/cell

---

| no. | E_tot (eV/cell) | V (A^3/atom) |
| --- | --- | --- |
| 1 | -19.2 | 15.95 |
| 2 | -50.1 | 25.16 |
| 3 | -12.5 | 33.77 |
| 4 | -24.6 | 23.95 |
| 5 | -71.2 | 14.96 |
| 6 | -27.8 | 17.21 |